No. 1
Ca2Ag2Pb: optimized geometry, PBE-GGA.

Results
Energy of formation ... -0.3703 eV per atom
Calculated total energy ... -3.05 eV/atom

abc: 5.897 5.897 5.897
angles: 132.27 114.76 84.75
Fractional positions:
1 Ca 0.205 0.205 0.000
2 Ca 0.795 0.795 0.000
3 Ag 0.214 0.500 0.714
4 Ag 0.786 0.500 0.286
5 Pb 0.500 0.000 0.500

No. 2
Ca2AgPb: optimized geometry, PBE-GGA.

Results
Energy of formation ... -0.4529 eV per atom
Calculated total energy ... -3.09 eV/atom

abc: 5.464 5.464 3.727
angles: 90.00 90.00 90.09
Fractional positions:
1 Ca 0.000 0.500 0.000
2 Ca 0.500 0.000 0.000
3 Ag 0.000 0.000 0.500
4 Pb 0.500 0.500 0.500

No. 3
CaAgPb: optimized geometry, PBE-GGA.

Results
Energy of formation ... -0.2489 eV per atom
Calculated total energy ... -3.10 eV/atom

abc: 6.274 6.274 6.274
angles: 145.20 145.20 50.04
Fractional positions:
1 Ca 0.000 0.000 0.000
2 Ag 0.657 0.657 0.000
3 Pb 0.305 0.305 0.000

No. 4
CaAgPb: optimized geometry, PBE-GGA.

Results
Energy of formation ... -0.0799 eV per atom
Calculated total energy ... -2.93 eV/atom

abc: 3.909 3.909 6.606
angles: 90.00 90.00 120.00
Fractional positions:
1 Ca 0.000 0.000 0.000
2 Ag 0.667 0.333 0.685
3 Pb 0.333 0.667 0.394

No. 5
Ca6Ag5Pb: optimized geometry, PBE-GGA.

Results
Energy of formation ... -0.3535 eV per atom
Calculated total energy ... -2.85 eV/atom

abc: 9.175 9.175 9.175
angles: 146.82 131.14 60.34
Fractional positions:
1 Ca 0.079 0.331 0.748
2 Ca 0.244 0.000 0.244
3 Ca 0.416 0.669 0.748
4 Ca 0.584 0.331 0.252
5 Ca 0.756 0.000 0.756
6 Ca 0.921 0.669 0.252
7 Ag 0.000 0.500 0.500
8 Ag 0.167 0.167 0.000
9 Ag 0.334 0.834 0.500
10 Ag 0.666 0.166 0.500
11 Ag 0.833 0.833 0.000
12 Pb 0.500 0.500 0.000

No. 6
Ca2Ag2Pb: optimized geometry, PBE-GGA.

Results
Energy of formation ... -0.3823 eV per atom
Calculated total energy ... -3.07 eV/atom

abc: 6.065 6.065 8.669
angles: 104.55 104.55 58.73
Fractional positions:
1 Ca 0.005 0.304 0.148
2 Ca 0.304 0.005 0.648
3 Ca 0.696 0.995 0.352
4 Ca 0.995 0.696 0.852
5 Ag 0.229 0.503 0.511
6 Ag 0.497 0.771 0.989
7 Ag 0.503 0.229 0.011
8 Ag 0.771 0.497 0.489
9 Pb 0.291 0.709 0.250
10 Pb 0.709 0.291 0.750

> calculated total energy of number 5 (Ca6Ag5Pb)?

-2.85 eV/atom